This record from Alexandria describes an optimized crystal structure of Tb2CrF8. The functional is PBE with a Hubbard U.

Output
DOS at the Fermi energy = 0.000 states/eV/atom
Size of the total moment = 4.00 μB/cell
Relative energy among the computed polymorphs = 0.025 eV/atom

Geometry as POSCAR:
```
Tb2CrF8
1.0
3.390 0.000 -0.852
-0.226 5.628 -0.899
0.088 -0.960 7.516
F Tb Cr
8 2 1
Direct
0.681 0.968 0.361 F
0.319 0.032 0.639 F
0.040 0.837 0.081 F
0.403 0.519 0.806 F
0.783 0.667 0.566 F
0.597 0.481 0.194 F
0.960 0.163 0.919 F
0.217 0.333 0.434 F
0.179 0.694 0.357 Tb
0.821 0.306 0.643 Tb
0.500 0.000 0.000 Cr
```